Here is an optimized crystal structure of Ba2MoPO from Alexandria via LeMat-Bulk. Energies are from PBE+U.

Structure (extended XYZ):
```
5
Lattice="5.538 0.000 0.000 0.000 5.538 0.000 0.000 0.000 4.393" Properties=species:S:1:pos:R:3 pbc="T T T"
Ba 0.000 2.769 0.000
Ba 2.769 0.000 0.000
Mo 0.000 0.000 2.196
P 2.769 2.769 2.196
O 0.000 0.000 0.000
```

Computed properties:
Magnetization in μB/atom: 0.95
V in Å³/cell: 134.7
Space-group type: P4/mmm
Excess energy over the best structure of this formula in the dataset in meV/atom: 0